6
Lattice="5.681 0.000 0.000 2.840 4.920 0.000 2.840 1.640 4.638" Properties=species:S:1:pos:R:3 comment="DyPaNb4 | Alexandria | PBE | optimized geometry" crystal_system=cubic spacegroup=F-43m final_energy_ev_per_atom=-8.914 pbc="T T T"
Pa 2.840 1.640 1.160
Dy 0.000 0.000 0.000
Nb 7.095 4.096 2.897
Nb 4.267 4.096 2.897
Nb 5.681 3.280 0.587
Nb 5.681 1.647 2.897

---

4
Lattice="5.017 0.000 0.000 2.509 4.345 0.000 2.509 1.448 4.546" Properties=species:S:1:pos:R:3 comment="DyPa2Nb | Alexandria | PBE | optimized geometry" crystal_system=trigonal spacegroup=R-3m de_polymorph_mev_per_atom=188 pbc="T T T"
Dy 0.000 0.000 0.000
Pa 2.509 1.448 1.219
Nb 5.017 2.897 2.273
Pa 7.526 4.345 3.328

---

4
Lattice="-0.910 -3.066 0.443 1.056 -2.303 -2.002 9.137 -3.510 6.253" Properties=species:S:1:pos:R:3 comment="Dy2PaNb | Alexandria | PBE | optimized geometry" crystal_system=trigonal spacegroup=R-3m final_energy_ev_per_atom=-6.663 pbc="T T T"
Pa 4.641 -4.440 2.347
Dy 2.463 -5.808 0.167
Dy 6.820 -3.071 4.526
Nb 0.000 0.000 0.000

---

8
Lattice="4.040 0.000 0.000 0.000 4.040 0.000 0.000 0.000 8.120" Properties=species:S:1:pos:R:3 comment="DyNbPd6 | Alexandria | PBE | optimized geometry" crystal_system=tetragonal spacegroup=P4/mmm final_energy_ev_per_atom=-6.377 pbc="T T T"
Pd 0.000 2.020 5.976
Pd 2.020 2.020 0.000
Nb 0.000 0.000 4.060
Pd 0.000 2.020 2.143
Pd 2.020 0.000 2.143
Pd 2.020 2.020 4.060
Pd 2.020 0.000 5.976
Dy 0.000 0.000 0.000

---

16
Lattice="5.707 -0.012 0.000 0.012 5.707 0.000 0.000 0.000 7.863" Properties=species:S:1:pos:R:3 comment="DyNbPd14 | Alexandria | PBE | optimized geometry" crystal_system=tetragonal spacegroup=P4/mmm final_energy_ev_per_atom=-5.791 pbc="T T T"
Pd 0.687 3.599 1.965
Pd 4.999 2.130 3.932
Dy 2.145 2.136 3.932
Pd 5.005 4.983 0.000
Pd 3.602 0.672 1.965
Pd 3.608 3.593 1.966
Pd 0.682 0.679 1.966
Pd 3.608 3.593 5.898
Pd 0.682 0.679 5.898
Pd 2.145 2.136 0.000
Nb 5.005 4.983 3.932
Pd 4.999 2.130 0.000
Pd 3.602 0.672 5.898
Pd 2.151 4.989 0.000
Pd 2.151 4.989 3.932
Pd 0.687 3.599 5.898

---

6
Lattice="4.762 0.000 0.000 -2.381 2.380 0.000 0.000 0.000 10.926" Properties=species:S:1:pos:R:3 comment="DyNbPd | Alexandria | PBE | optimized geometry" crystal_system=tetragonal spacegroup=P4/mmm final_energy_ev_per_atom=-6.820 pbc="T T T"
Dy 2.381 0.926 3.636
Dy 2.381 0.926 7.290
Nb 0.000 0.926 1.498
Pd 2.381 0.926 0.000
Pd 0.000 0.926 5.463
Nb 0.000 0.926 9.427

---

12
Lattice="-3.334 0.150 -2.322 1.695 -2.624 -2.603 -4.798 -9.338 6.289" Properties=species:S:1:pos:R:3 comment="Dy2NbPd9 | Alexandria | PBE | optimized geometry" crystal_system=tetragonal spacegroup=P4/mmm final_energy_ev_per_atom=-6.251 pbc="T T T"
Pd -2.407 -1.365 -0.191
Dy -1.601 -3.116 2.099
Nb 0.000 0.000 0.000
Pd -2.387 -4.288 -0.408
Pd -3.211 -9.210 4.018
Pd -0.820 -1.237 -2.462
Pd -4.066 -4.594 1.983
Dy -3.197 -6.221 4.190
Pd -5.726 -7.823 4.158
Pd -4.051 -7.524 1.772
Pd 0.108 -2.752 -0.332
Pd -1.552 -5.981 1.843

---

4
Lattice="3.348 0.000 0.000 1.674 2.899 0.000 1.674 0.966 11.726" Properties=species:S:1:pos:R:3 comment="Pm2DyNb | Alexandria | PBE | optimized geometry" crystal_system=trigonal spacegroup=R-3m final_energy_ev_per_atom=-5.479 pbc="T T T"
Pm 5.022 2.899 2.910
Dy 3.348 1.933 5.863
Nb 0.000 0.000 0.000
Pm 1.674 0.966 8.816

---

4
Lattice="-3.074 -1.370 0.285 -1.108 -2.165 -2.344 3.204 -10.211 5.484" Properties=species:S:1:pos:R:3 comment="Pr2DyNb | Alexandria | PBE | optimized geometry" crystal_system=trigonal spacegroup=R-3m final_energy_ev_per_atom=-5.463 pbc="T T T"
Pr 2.068 -7.980 3.960
Dy -0.489 -6.873 1.712
Nb 0.000 0.000 0.000
Pr -3.045 -5.766 -0.535

---

4
Lattice="3.330 0.000 0.000 1.665 2.884 0.000 1.665 0.961 11.809" Properties=species:S:1:pos:R:3 comment="PrDy2Nb | Alexandria | PBE | optimized geometry" crystal_system=trigonal spacegroup=R-3m final_energy_ev_per_atom=-5.447 pbc="T T T"
Pr 3.330 1.922 5.904
Dy 4.995 2.884 2.888
Nb 0.000 0.000 0.000
Dy 1.665 0.961 8.921